(1)
# NaLa2YRu

NaLa2YRu after structural relaxation (PBE, Alexandria via LeMat-Bulk).

```
NaLa2YRu
1.0
5.645 0.000 0.000
0.000 4.771 0.000
0.000 0.000 5.645
La Ru Na Y
2 1 1 1
Cartesian
0.000 0.000 2.822 La
2.822 0.000 0.000 La
0.000 2.385 0.000 Ru
0.000 0.000 0.000 Na
2.822 2.385 2.822 Y
```

Properties
**Excess energy over the best structure of this formula in the dataset**: 1062 meV per atom
**DFT formation energy**: 0.969 eV per atom



(2)
# CoSnPb2

CoSnPb2 after structural relaxation (PBE, Alexandria via LeMat-Bulk).

```
CoSnPb2
1.0
5.312 0.000 0.000
0.000 5.312 0.000
2.656 2.656 8.284
Pb Sn Co
4 2 2
Cartesian
6.640 6.226 6.213 Pb
3.570 1.328 2.071 Pb
3.984 4.398 6.213 Pb
1.742 3.984 2.071 Pb
5.312 2.656 4.142 Sn
0.000 0.000 0.000 Sn
2.656 5.312 4.142 Co
2.656 2.656 0.000 Co
```

Properties
**DFT formation energy**: 0.552 eV per atom



(3)
# SrGaBrO2

SrGaBrO2 after structural relaxation (PBE, Alexandria via LeMat-Bulk).

```
SrGaBrO2
1.0
4.190 0.000 0.000
0.000 6.858 -0.515
0.000 -0.810 7.593
Ga Br O Sr
2 2 4 2
Cartesian
3.142 0.214 1.043 Ga
1.047 5.834 6.035 Ga
1.047 3.346 5.348 Br
3.142 2.702 1.730 Br
3.142 6.299 2.173 O
1.047 6.727 0.296 O
3.142 -0.679 6.782 O
1.047 -0.251 4.905 O
3.142 0.920 4.674 Sr
1.047 5.128 2.403 Sr
```

Properties
**Uncorrected formation energy**: -2.08 eV/atom



(4)
# Li3Tl2Pd4Pb2

Li3Tl2Pd4Pb2 after structural relaxation (PBE, Alexandria via LeMat-Bulk).

```
Li3Tl2Pd4Pb2
1.0
-0.589 2.779 3.701
3.390 -3.206 0.006
7.215 7.619 -4.573
Pb Pd Tl Li
2 4 2 3
Cartesian
7.247 7.659 -1.657 Pb
2.768 -0.467 0.791 Pb
5.518 5.833 -0.561 Pd
4.497 1.359 -0.305 Pd
1.953 2.068 1.699 Pd
8.062 5.124 -2.564 Pd
3.724 3.938 0.577 Tl
6.292 3.254 -1.442 Tl
1.940 2.049 -1.230 Li
5.274 5.570 -3.343 Li
0.000 0.000 0.000 Li
```

Properties
**DFT formation energy**: -0.321 eV per atom



| no. | total moment (μB per cell) |
| --- | --- |
| 1 | 0.000 |
| 2 | 2.288 |
| 3 | 0.000 |
| 4 | 0.000 |